[1]
Ti5Ru3Se12 | the Alexandria database | GGA-PBE | optimized geometry; final energy = -0.212 hartree per atom; formation energy from raw total energies = -0.3122 eV per atom
1.0
-4.4312 3.4025 11.7916
-10.0244 -0.9938 -8.2932
6.1327 -11.4888 0.8069
Ti Se Ru
20 48 12
Direct
0.5000 0.5000 0.0000 Ti
0.5000 0.0000 0.5000 Ti
0.5000 0.0000 0.0000 Ti
0.7500 0.1250 0.8750 Ti
0.1250 0.3750 0.2500 Ti
0.0000 0.5000 0.5000 Ti
0.0000 0.0000 0.0000 Ti
0.0000 0.0000 0.5000 Ti
0.2500 0.8750 0.1250 Ti
0.3750 0.2500 0.1250 Ti
0.7500 0.6250 0.3750 Ti
0.6250 0.8750 0.2500 Ti
0.3750 0.1250 0.7500 Ti
0.5000 0.5000 0.5000 Ti
0.8750 0.6250 0.7500 Ti
0.0000 0.5000 0.0000 Ti
0.2500 0.3750 0.6250 Ti
0.6250 0.7500 0.8750 Ti
0.8750 0.2500 0.6250 Ti
0.1250 0.7500 0.3750 Ti
0.8242 0.9279 0.0518 Se
0.1239 0.7276 0.5518 Se
0.6037 0.7276 0.6758 Se
0.3963 0.1239 0.5721 Se
0.6758 0.2276 0.6037 Se
0.4279 0.0518 0.3242 Se
0.1037 0.9279 0.3761 Se
0.4279 0.3761 0.6037 Se
0.0721 0.1758 0.4482 Se
0.8761 0.2724 0.4482 Se
0.5518 0.3242 0.9279 Se
0.8761 0.6037 0.9279 Se
0.9482 0.5721 0.1758 Se
0.3242 0.7724 0.3963 Se
0.4482 0.6758 0.0721 Se
0.7276 0.1239 0.0518 Se
0.1037 0.1758 0.2276 Se
0.6239 0.5721 0.8963 Se
0.8963 0.8242 0.7724 Se
0.7724 0.3242 0.8963 Se
0.9279 0.1037 0.8761 Se
0.2724 0.3963 0.8242 Se
0.2276 0.5518 0.6239 Se
0.0518 0.6239 0.7276 Se
0.5721 0.6239 0.3963 Se
0.5721 0.9482 0.6758 Se
0.7724 0.4482 0.3761 Se
0.1758 0.0721 0.9482 Se
0.4482 0.7724 0.8761 Se
0.3242 0.5518 0.4279 Se
0.9482 0.3761 0.2724 Se
0.8242 0.8963 0.2724 Se
0.6758 0.4482 0.5721 Se
0.7276 0.6037 0.1758 Se
0.9279 0.8242 0.5518 Se
0.1239 0.3963 0.0721 Se
0.6239 0.0518 0.2276 Se
0.2276 0.6758 0.1037 Se
0.0518 0.4279 0.8242 Se
0.5518 0.2276 0.1239 Se
0.3963 0.2724 0.3242 Se
0.0721 0.8963 0.1239 Se
0.6037 0.8761 0.4279 Se
0.1758 0.1037 0.7276 Se
0.3761 0.4279 0.1037 Se
0.3761 0.9482 0.7724 Se
0.8963 0.0721 0.6239 Se
0.2724 0.8761 0.9482 Se
0.6250 0.2500 0.3750 Ru
0.6250 0.3750 0.7500 Ru
0.3750 0.7500 0.6250 Ru
0.7500 0.8750 0.6250 Ru
0.3750 0.6250 0.2500 Ru
0.8750 0.7500 0.1250 Ru
0.2500 0.6250 0.8750 Ru
0.7500 0.3750 0.1250 Ru
0.1250 0.2500 0.8750 Ru
0.8750 0.1250 0.2500 Ru
0.2500 0.1250 0.3750 Ru
0.1250 0.8750 0.7500 Ru

***

[2]
Ti2RuSe2 | the Alexandria database | GGA-PBE | optimized geometry; final energy = -0.245 hartree per atom; E above lowest polymorph = 254 meV/atom; formation energy from raw total energies = -0.2644 eV per atom
1.0
4.9158 0.0000 0.0000
0.0000 4.9158 0.0000
2.4579 2.4579 3.8518
Ti Se Ru
2 2 1
Direct
0.7500 0.2500 0.5000 Ti
0.2500 0.7500 0.5000 Ti
0.6830 0.6830 0.6341 Se
0.3170 0.3170 0.3659 Se
0.0000 0.0000 0.0000 Ru

***

[3]
TiRu3Se | the Alexandria database | GGA-PBE | optimized geometry; final energy = -0.260 hartree per atom; E above lowest polymorph = 0 meV/atom; formation energy from raw total energies = 0.7647 eV per atom
1.0
-4.2301 -1.3706 -0.5449
1.4293 -4.2177 -0.4869
-0.3640 -0.6336 4.4198
Ru Se Ti
3 1 1
Direct
0.5000 0.0000 0.0000 Ru
0.0000 0.0000 0.5000 Ru
0.0000 0.5000 0.0000 Ru
0.0000 0.0000 0.0000 Se
0.5000 0.5000 0.5000 Ti

***

[4]
Ti2TlRuSe | the Alexandria database | GGA-PBE | optimized geometry; final energy = -0.219 hartree per atom; formation energy from raw total energies = 0.2193 eV per atom
1.0
-4.3478 -0.7908 1.5364
0.5110 -4.5065 -0.8733
1.6486 -0.6520 4.3296
Ti Ru Se Tl
2 1 1 1
Direct
0.5000 0.0000 0.0000 Ti
0.0000 0.0000 0.5000 Ti
0.0000 0.5000 0.0000 Ru
0.0000 0.0000 0.0000 Se
0.5000 0.5000 0.5000 Tl

***

[5]
TiVRu2Se | the Alexandria database | GGA-PBE | optimized geometry; final energy = -0.247 hartree per atom; formation energy from raw total energies = 1.0922 eV per atom
1.0
-1.9499 -1.2223 -3.8464
0.3393 -4.5260 1.2663
-4.0230 0.2470 1.9609
Ru Se V Ti
2 1 1 1
Direct
0.5000 0.0000 0.0000 Ru
0.0000 0.0000 0.5000 Ru
0.0000 0.5000 0.0000 Se
0.5000 0.5000 0.5000 V
0.0000 0.0000 0.0000 Ti

***

[6]
TiRu2WSe | the Alexandria database | GGA-PBE | optimized geometry; final energy = -0.266 hartree per atom; formation energy from raw total energies = 1.3309 eV per atom
1.0
4.6860 0.0000 0.0000
0.0000 4.6860 0.0000
0.0000 0.0000 4.8061
Ti Ru W Se
1 2 1 1
Direct
0.0000 0.0000 0.5000 Ti
0.5000 0.0000 0.0000 Ru
0.0000 0.5000 0.0000 Ru
0.0000 0.0000 0.0000 W
0.5000 0.5000 0.5000 Se

***

[7]
TiZnRu2Se | the Alexandria database | GGA-PBE | optimized geometry; final energy = -0.208 hartree per atom; formation energy from raw total energies = 0.5882 eV per atom
1.0
4.5328 0.0000 0.0000
0.0000 4.5824 0.0000
0.0000 0.0000 4.5328
Zn Ru Se Ti
1 2 1 1
Direct
0.5000 0.5000 0.5000 Zn
0.0000 0.0000 0.5000 Ru
0.5000 0.0000 0.0000 Ru
0.0000 0.0000 0.0000 Se
0.0000 0.5000 0.0000 Ti

***

[8]
TlRuSe2 | the Alexandria database | GGA-PBE | optimized geometry; final energy = -0.175 hartree per atom; E above lowest polymorph = 79 meV/atom; formation energy from raw total energies = -0.1197 eV per atom
1.0
3.7213 0.0000 0.0000
0.0000 5.0204 0.0043
0.0000 2.5525 4.9382
Tl Ru Se
1 1 2
Direct
0.5000 0.2500 0.2500 Tl
0.5000 0.7500 0.7500 Ru
0.0000 0.9621 0.9023 Se
0.0000 0.5379 0.5977 Se

***

[9]
TlRuSe2 | the Alexandria database | GGA-PBE | optimized geometry; final energy = -0.167 hartree per atom; E above lowest polymorph = 309 meV/atom; formation energy from raw total energies = 0.1103 eV per atom
1.0
3.0689 0.0000 0.0000
0.0000 3.0689 0.0000
0.0000 0.0000 9.4069
Tl Ru Se
1 1 2
Direct
0.0000 0.0000 0.5316 Tl
0.5000 0.5000 0.7899 Ru
0.5000 0.5000 0.2582 Se
0.0000 0.0000 0.9203 Se

***

[10]
TlRu4Se | the Alexandria database | GGA-PBE | optimized geometry; final energy = -0.234 hartree per atom; formation energy from raw total energies = 0.7932 eV per atom
1.0
0.0000 3.7002 3.7002
3.7002 0.0000 3.7002
3.7002 3.7002 0.0000
Ru Se Tl
4 1 1
Direct
0.3760 0.3760 0.8721 Ru
0.3760 0.8721 0.3760 Ru
0.3760 0.3760 0.3760 Ru
0.8721 0.3760 0.3760 Ru
0.7500 0.7500 0.7500 Se
0.0000 0.0000 0.0000 Tl

***

[11]
TlRuSe2 | the Alexandria database | GGA-PBE | optimized geometry; final energy = -0.157 hartree per atom; E above lowest polymorph = 579 meV/atom; formation energy from raw total energies = 0.3808 eV per atom
1.0
4.8060 -8.4374 5.0134
7.3291 -7.0461 4.0073
6.0677 -6.1930 6.6521
Se Tl Ru
2 1 1
Direct
0.0731 0.0731 0.0731 Se
0.9269 0.9269 0.9269 Se
0.5000 0.5000 0.5000 Tl
0.0000 0.0000 0.0000 Ru

***

[12]
TlRuSe2 | the Alexandria database | GGA-PBE | optimized geometry; final energy = -0.154 hartree per atom; E above lowest polymorph = 664 meV/atom; formation energy from raw total energies = 0.4657 eV per atom
1.0
0.0000 3.4030 3.4030
3.4030 0.0000 3.4030
3.4030 3.4030 0.0000
Ru Tl Se
1 1 2
Direct
0.0000 0.0000 0.0000 Ru
0.5000 0.5000 0.5000 Tl
0.2500 0.2500 0.2500 Se
0.7500 0.7500 0.7500 Se